Record 1
Te2RhCl: optimized geometry, PBE-GGA.

```
Te2RhCl
1.0
-0.989 -0.827 -6.416
2.452 -1.447 -5.892
-0.769 -4.861 -0.702
Cl Rh Te
1 1 2
Cartesian
0.536 -3.364 -7.507
0.161 -1.906 -3.311
1.267 -2.403 -11.168
0.542 -5.302 -9.836
```

Computed properties:
The space group is No. 8.

=====

Record 2
Te2RhCl: optimized geometry, PBE-GGA.

```
Te2RhCl
1.0
3.380 0.000 0.000
0.000 3.492 0.000
0.000 0.000 9.195
Cl Rh Te
1 1 2
Cartesian
0.000 0.000 4.997
1.690 1.746 8.541
0.000 0.000 7.485
1.690 1.746 1.965
```

Computed properties:
The space group is No. 25.

=====

| no. | raw formation energy (eV per atom) | energy (eV for the cell shown) |
| --- | --- | --- |
| 1 | -0.176 | -16.18 |
| 2 | -0.060 | -15.72 |